VASP calculation (PBE) on a relaxed Er8Ga2Pd crystal.

a b c (Å): 4.9110 6.5546 9.4311
angles (deg): 100.66 105.09 90.00
Closest atoms and distances in Å follow each position.
Sites, in units of the cell vectors:
Er 0.4086 0.5375 0.8172  1 Pd 3.17, 6 Er 3.38-3.50, 2 Ga 3.42
Er 0.6541 0.9818 0.3082  1 Pd 2.83, 3 Ga 2.98-3.03
Er 0.7908 0.6793 0.5815  3 Ga 2.97-3.18
Er 0.9762 0.2271 0.9523  2 Pd 2.95, 1 Ga 3.03, 1 Er 3.26
Er 0.2092 0.3207 0.4185  3 Ga 2.97-3.18
Er 0.3459 0.0182 0.6918  1 Pd 2.83, 3 Ga 2.98-3.03
Er 0.5914 0.4625 0.1828  1 Pd 3.17, 6 Er 3.38-3.50, 2 Ga 3.42
Er 0.0238 0.7729 0.0477  2 Pd 2.95, 1 Ga 3.03, 1 Er 3.26
Ga 0.8109 0.2397 0.6218  7 Er 2.97-3.18
Ga 0.1891 0.7603 0.3782  7 Er 2.97-3.18
Pd 0.5000 0.0000 0.0000  8 Er 2.83-3.17

calculated formation energy = -0.364 eV per atom
N(E_F) = 10.52 states/eV/f.u.

=====

VASP calculation (PBE) on a relaxed InPtI2N crystal.

a b c (Å): 5.9394 5.9394 3.8028
angles (deg): 90.00 90.00 90.00
Closest atoms and distances in Å follow each position.
Sites, in units of the cell vectors:
I 0.0000 0.5000 0.0000  2 Pt 2.97
I 0.5000 0.0000 0.0000  2 Pt 2.97
N 0.0000 0.0000 0.5000  2 Pt 1.90
Pt 0.0000 0.0000 0.0000  2 N 1.90
In 0.5000 0.5000 0.5000  8 I 3.53, 2 In 3.80

formation energy (no corrections) = 0.262 eV per atom
offset from the most stable computed form = 0.000 eV/atom
N(E_F) = 2.73 states/eV/f.u.

=====

VASP calculation (PBE) on a relaxed Y2AlHPb crystal.

a b c (Å): 4.8318 4.8318 4.4395
angles (deg): 90.00 90.00 90.00
Closest atoms and distances in Å follow each position.
Sites, in units of the cell vectors:
Pb 0.5000 0.5000 0.5000  8 Y 3.28, 4 Al 3.42
Y 0.0000 0.5000 0.0000  2 H 2.42
Y 0.5000 0.0000 0.0000  2 H 2.42
Al 0.0000 0.0000 0.5000  2 H 2.22
H 0.0000 0.0000 0.0000  2 Al 2.22, 4 Y 2.42

electronic total energy = -5.059 eV per atom
N(E_F) = 3.57 states/eV/f.u.

=====

VASP calculation (PBE) on a relaxed PmPr2Ho3As6 crystal.

a b c (Å): 4.1963 8.3816 9.3725
angles (deg): 102.84 102.94 90.00
Closest atoms and distances in Å follow each position.
Sites, in units of the cell vectors:
Pm 0.5000 0.0000 0.0000  6 As 3.00
Pr 0.8337 0.6673 0.6675  6 As 3.01-3.02
Pr 0.1663 0.3327 0.3325  6 As 3.01-3.02
Ho 0.5000 0.5000 0.0000  6 As 2.92-2.93
Ho 0.8332 0.1664 0.6663  6 As 2.91-2.93
Ho 0.1668 0.8336 0.3337  6 As 2.91-2.93
As 0.3316 0.9245 0.6632  3 Ho 2.91-2.93, 1 Pm 3.00, 2 Pr 3.01
As 0.6639 0.5904 0.3277  3 Ho 2.92, 3 Pr 3.02
As 0.6684 0.0755 0.3368  3 Ho 2.91-2.93, 1 Pm 3.00, 2 Pr 3.01
As 0.9970 0.2540 0.9940  3 Ho 2.91-2.93, 2 Pm 3.00, 1 Pr 3.01
As 0.0030 0.7460 0.0060  3 Ho 2.91-2.93, 2 Pm 3.00, 1 Pr 3.01
As 0.3361 0.4096 0.6723  3 Ho 2.92, 3 Pr 3.02

calculated formation energy = -1.510 eV per atom
N(E_F) = 1.82 states/eV/f.u.